The following is a DFT calculation (PBE-GGA) of a relaxed Na4Ho3InTe8 crystal.

Summary:
The raw formation energy is -1.10 eV per atom. The value obtained for the total moment is 0.00 μB per cell. Its crystal system is trigonal.

abc: 9.1352 9.1352 9.1352
angles: 57.56 57.56 57.56
Atoms (fractional coordinates):
Na: 0.0000 0.0000 0.0000
Na: 0.0000 0.5000 0.5000
Na: 0.5000 0.0000 0.5000
Na: 0.5000 0.5000 0.0000
Ho: 0.0000 0.0000 0.5000
Ho: 0.0000 0.5000 0.0000
Ho: 0.5000 0.0000 0.0000
In: 0.5000 0.5000 0.5000
Te: 0.2436 0.2436 0.2436
Te: 0.2462 0.7414 0.7414
Te: 0.2586 0.2586 0.7538
Te: 0.2586 0.7538 0.2586
Te: 0.7414 0.2462 0.7414
Te: 0.7414 0.7414 0.2462
Te: 0.7538 0.2586 0.2586
Te: 0.7564 0.7564 0.7564

The following is a DFT calculation (PBE-GGA) of a relaxed NaHoTlIn crystal.

Summary:
The value obtained for the total moment is 0.00 μB per cell. The formation energy is -0.95 eV/f.u. Its crystal system is cubic. The calculation puts the energy above the most stable polymorph in this dataset at 30 meV per atom.

abc: 5.3028 5.3028 5.3028
angles: 60.00 60.00 60.00
Atoms (fractional coordinates):
Na: 0.0000 0.0000 0.0000
Ho: 0.5000 0.5000 0.5000
Tl: 0.2500 0.2500 0.2500
In: 0.7500 0.7500 0.7500

The following is a DFT calculation (PBE-GGA) of a relaxed NaHoTlIn crystal.

Summary:
The value obtained for the total moment is 0.00 μB per cell. The formation energy is -1.07 eV/f.u. Its crystal system is orthorhombic. The calculation puts the energy above the most stable polymorph in this dataset at 0 meV per atom.

abc: 3.8271 5.2414 5.2675
angles: 90.00 90.00 90.00
Atoms (fractional coordinates):
Na: 0.0000 0.0000 0.0000
Ho: 0.0000 0.5000 0.5000
Tl: 0.5000 0.5000 0.0000
In: 0.5000 0.0000 0.5000

The following is a DFT calculation (PBE-GGA) of a relaxed NaHoTmIn crystal.

Summary:
The value obtained for the total moment is 0.00 μB per cell. The formation energy is -0.39 eV/f.u. Its crystal system is cubic.

abc: 5.3500 5.3500 5.3500
angles: 60.00 60.00 60.00
Atoms (fractional coordinates):
Na: 0.0000 0.0000 0.0000
Ho: 0.7500 0.7500 0.7500
Tm: 0.2500 0.2500 0.2500
In: 0.5000 0.5000 0.5000

The following is a DFT calculation (PBE-GGA) of a relaxed Ho2NbIn crystal.

Summary:
The value obtained for the total moment is 0.91 μB per cell. The formation energy is 1.60 eV/f.u. Its crystal system is trigonal.

abc: 11.5120 11.5120 11.5120
angles: 16.14 16.14 16.14
Atoms (fractional coordinates):
Ho: 0.0868 0.0868 0.0868
Ho: 0.9132 0.9132 0.9132
Nb: 0.0000 0.0000 0.0000
In: 0.5000 0.5000 0.5000

The following is a DFT calculation (PBE-GGA) of a relaxed Nd5Ho2In crystal.

Summary:
The value obtained for the total moment is 0.00 μB per cell. The formation energy is -0.51 eV/f.u. Its crystal system is tetragonal. The calculation puts the energy above the most stable polymorph in this dataset at 50 meV per atom.

abc: 6.9578 6.9578 6.9578
angles: 113.86 113.86 101.01
Atoms (fractional coordinates):
Nd: 0.0000 0.0000 0.0000
Nd: 0.0762 0.0762 0.5457
Nd: 0.0762 0.5305 0.0000
Nd: 0.5305 0.0762 0.0000
Nd: 0.5305 0.5305 0.4543
Ho: 0.0528 0.5528 0.5000
Ho: 0.5528 0.0528 0.5000
In: 0.5795 0.5795 0.0000

The following is a DFT calculation (PBE-GGA) of a relaxed Nd3Ho4In4 crystal.

Summary:
The value obtained for the total moment is 0.00 μB per cell. The formation energy is -3.10 eV/f.u. Its crystal system is orthorhombic.

abc: 9.8549 9.8549 9.8549
angles: 148.80 137.73 53.46
Atoms (fractional coordinates):
Nd: 0.0000 0.0000 0.0000
Nd: 0.3953 0.8953 0.5000
Nd: 0.6047 0.1047 0.5000
Ho: 0.0543 0.3214 0.7329
Ho: 0.4115 0.6786 0.7329
Ho: 0.5885 0.3214 0.2671
Ho: 0.9457 0.6786 0.2671
In: 0.1795 0.1795 0.0000
In: 0.2885 0.5000 0.7885
In: 0.7115 0.5000 0.2115
In: 0.8205 0.8205 0.0000

The following is a DFT calculation (PBE-GGA) of a relaxed NdHoIn4 crystal.

Summary:
The value obtained for the total moment is 0.00 μB per cell. The formation energy is -1.92 eV/f.u. Its crystal system is orthorhombic. The calculation puts the energy above the most stable polymorph in this dataset at 43 meV per atom.

abc: 10.4497 18.1614 3.4911
angles: 90.00 90.00 90.00
Atoms (fractional coordinates):
Nd: 0.0795 0.1349 0.0000
Nd: 0.4205 0.6349 0.0000
Nd: 0.5795 0.3651 0.0000
Nd: 0.9205 0.8651 0.0000
Ho: 0.1181 0.4262 0.0000
Ho: 0.3819 0.9262 0.0000
Ho: 0.6181 0.0738 0.0000
Ho: 0.8819 0.5738 0.0000
In: 0.0156 0.2887 0.5000
In: 0.1306 0.9716 0.5000
In: 0.1537 0.5802 0.5000
In: 0.2029 0.8089 0.5000
In: 0.2971 0.3089 0.5000
In: 0.3463 0.0802 0.5000
In: 0.3694 0.4716 0.5000
In: 0.4844 0.7887 0.5000
In: 0.5156 0.2113 0.5000
In: 0.6306 0.5284 0.5000
In: 0.6537 0.9198 0.5000
In: 0.7029 0.6911 0.5000
In: 0.7971 0.1911 0.5000
In: 0.8463 0.4198 0.5000
In: 0.8694 0.0284 0.5000
In: 0.9844 0.7113 0.5000

The following is a DFT calculation (PBE-GGA) of a relaxed Nd12Ho6In crystal.

Summary:
The value obtained for the total moment is 0.00 μB per cell. The formation energy is 1.18 eV/f.u. Its crystal system is trigonal. The calculation puts the energy above the most stable polymorph in this dataset at 0 meV per atom.

abc: 8.6364 8.6364 8.6364
angles: 88.63 88.63 88.63
Atoms (fractional coordinates):
Nd: 0.0374 0.2855 0.9315
Nd: 0.0685 0.9626 0.7145
Nd: 0.1362 0.3206 0.4834
Nd: 0.2855 0.9315 0.0374
Nd: 0.3206 0.4834 0.1362
Nd: 0.4834 0.1362 0.3206
Nd: 0.5166 0.8638 0.6794
Nd: 0.6794 0.5166 0.8638
Nd: 0.7145 0.0685 0.9626
Nd: 0.8638 0.6794 0.5166
Nd: 0.9315 0.0374 0.2855
Nd: 0.9626 0.7145 0.0685
Ho: 0.2158 0.6003 0.7557
Ho: 0.2443 0.7842 0.3997
Ho: 0.3997 0.2443 0.7842
Ho: 0.6003 0.7557 0.2158
Ho: 0.7557 0.2158 0.6003
Ho: 0.7842 0.3997 0.2443
In: 0.5000 0.5000 0.5000

The following is a DFT calculation (PBE-GGA) of a relaxed Nd5Ho8In crystal.

Summary:
The value obtained for the total moment is 0.00 μB per cell. The formation energy is -0.33 eV/f.u. Its crystal system is triclinic.

abc: 7.0541 8.5390 8.8302
angles: 114.42 101.85 101.72
Atoms (fractional coordinates):
Nd: 0.0000 0.0000 0.0000
Nd: 0.0764 0.7186 0.5917
Nd: 0.1916 0.2836 0.4428
Nd: 0.4798 0.1579 0.7214
Nd: 0.6713 0.2583 0.4118
Ho: 0.2719 0.8179 0.2529
Ho: 0.3849 0.3979 0.1305
Ho: 0.4887 0.9666 0.9842
Ho: 0.5804 0.7221 0.5855
Ho: 0.7685 0.8222 0.2573
Ho: 0.8521 0.5676 0.8578
Ho: 0.8876 0.3927 0.1391
Ho: 0.9728 0.1684 0.7208
In: 0.3541 0.5571 0.8658

The following is a DFT calculation (PBE-GGA) of a relaxed Nd8HoIn2 crystal.

Summary:
The value obtained for the total moment is 0.00 μB per cell. The formation energy is -0.69 eV/f.u. Its crystal system is monoclinic.

abc: 9.0391 9.0391 5.8864
angles: 103.54 103.54 120.07
Atoms (fractional coordinates):
Nd: 0.0942 0.3242 0.6297
Nd: 0.2162 0.7838 0.0000
Nd: 0.3242 0.0942 0.6297
Nd: 0.4083 0.4083 0.2075
Nd: 0.5917 0.5917 0.7925
Nd: 0.6758 0.9058 0.3703
Nd: 0.7838 0.2162 0.0000
Nd: 0.9058 0.6758 0.3703
Ho: 0.0000 0.0000 0.0000
In: 0.3063 0.6937 0.5000
In: 0.6937 0.3063 0.5000

The following is a DFT calculation (PBE-GGA) of a relaxed Nd3Ho3In5 crystal.

Summary:
The value obtained for the total moment is 0.00 μB per cell. The formation energy is 2.10 eV/f.u. Its crystal system is hexagonal.

abc: 9.0656 9.0656 5.7278
angles: 90.00 90.00 120.00
Atoms (fractional coordinates):
Nd: 0.0000 0.5306 0.0000
Nd: 0.4694 0.4694 0.0000
Nd: 0.5306 0.0000 0.0000
Ho: 0.0000 0.2743 0.5000
Ho: 0.2743 0.0000 0.5000
Ho: 0.7257 0.7257 0.5000
In: 0.0000 0.6428 0.5000
In: 0.3333 0.6667 0.5000
In: 0.3572 0.3572 0.5000
In: 0.6428 0.0000 0.5000
In: 0.6667 0.3333 0.5000

The following is a DFT calculation (PBE-GGA) of a relaxed Nd3Ho3In crystal.

Summary:
The value obtained for the total moment is 0.00 μB per cell. The formation energy is -0.79 eV/f.u. Its crystal system is hexagonal. The calculation puts the energy above the most stable polymorph in this dataset at 0 meV per atom.

abc: 9.5106 9.5106 5.6193
angles: 90.00 90.00 120.00
Atoms (fractional coordinates):
Nd: 0.1059 0.6313 0.2500
Nd: 0.3687 0.4747 0.2500
Nd: 0.4747 0.1059 0.7500
Nd: 0.5253 0.8941 0.2500
Nd: 0.6313 0.5253 0.7500
Nd: 0.8941 0.3687 0.7500
Ho: 0.0593 0.8234 0.7500
Ho: 0.1766 0.2360 0.7500
Ho: 0.2360 0.0593 0.2500
Ho: 0.7640 0.9407 0.7500
Ho: 0.8234 0.7640 0.2500
Ho: 0.9407 0.1766 0.2500
In: 0.3333 0.6667 0.7500
In: 0.6667 0.3333 0.2500

The following is a DFT calculation (PBE-GGA) of a relaxed Nd6Ho2In3 crystal.

Summary:
The value obtained for the total moment is 0.00 μB per cell. The formation energy is 2.10 eV/f.u. Its crystal system is tetragonal.

abc: 12.8940 12.8940 12.8940
angles: 155.42 155.42 35.03
Atoms (fractional coordinates):
Nd: 0.0983 0.5983 0.5000
Nd: 0.1981 0.1981 0.0000
Nd: 0.4017 0.9017 0.5000
Nd: 0.5983 0.0983 0.5000
Nd: 0.8019 0.8019 0.0000
Nd: 0.9017 0.4017 0.5000
Ho: 0.0581 0.0581 0.0000
Ho: 0.9419 0.9419 0.0000
In: 0.3269 0.3269 0.0000
In: 0.5000 0.5000 0.0000
In: 0.6731 0.6731 0.0000

The following is a DFT calculation (PBE-GGA) of a relaxed NdHo7In4 crystal.

Summary:
The value obtained for the total moment is 0.00 μB per cell. The formation energy is -1.15 eV/f.u. Its crystal system is monoclinic.

abc: 7.7545 7.7545 10.5028
angles: 121.29 121.29 42.73
Atoms (fractional coordinates):
Nd: 0.0000 0.0000 0.0000
Ho: 0.0635 0.0635 0.3960
Ho: 0.2115 0.2115 0.8760
Ho: 0.2837 0.2837 0.3445
Ho: 0.5000 0.5000 0.0000
Ho: 0.7163 0.7163 0.6555
Ho: 0.7885 0.7885 0.1240
Ho: 0.9365 0.9365 0.6040
In: 0.3180 0.3180 0.6668
In: 0.4384 0.4384 0.2396
In: 0.5616 0.5616 0.7604
In: 0.6820 0.6820 0.3332

The following is a DFT calculation (PBE-GGA) of a relaxed NdHoIn crystal.

Summary:
The value obtained for the total moment is 0.00 μB per cell. The formation energy is -0.66 eV/f.u. Its crystal system is monoclinic. The calculation puts the energy above the most stable polymorph in this dataset at 123 meV per atom.

abc: 6.6280 6.6280 8.0437
angles: 109.21 109.21 32.84
Atoms (fractional coordinates):
Nd: 0.0000 0.0000 0.0000
Nd: 0.0000 0.0000 0.5000
Ho: 0.3078 0.3078 0.6839
Ho: 0.6922 0.6922 0.3161
In: 0.3362 0.3362 0.1471
In: 0.6638 0.6638 0.8529

The following is a DFT calculation (PBE-GGA) of a relaxed Nd8Ho4In crystal.

Summary:
The value obtained for the total moment is 0.00 μB per cell. The formation energy is 1.38 eV/f.u. Its crystal system is trigonal.

abc: 10.9835 10.9835 10.9835
angles: 38.27 38.27 38.27
Atoms (fractional coordinates):
Nd: 0.2240 0.2240 0.2240
Nd: 0.2350 0.7439 0.7439
Nd: 0.2561 0.2561 0.7650
Nd: 0.2561 0.7650 0.2561
Nd: 0.7439 0.2350 0.7439
Nd: 0.7439 0.7439 0.2350
Nd: 0.7650 0.2561 0.2561
Nd: 0.7760 0.7760 0.7760
Ho: 0.0000 0.0000 0.0000
Ho: 0.0000 0.5000 0.5000
Ho: 0.5000 0.0000 0.5000
Ho: 0.5000 0.5000 0.0000
In: 0.5000 0.5000 0.5000

The following is a DFT calculation (PBE-GGA) of a relaxed Nd3Ho2In3 crystal.

Summary:
The value obtained for the total moment is 0.00 μB per cell. The formation energy is -2.92 eV/f.u. Its crystal system is orthorhombic. The calculation puts the energy above the most stable polymorph in this dataset at 0 meV per atom.

abc: 11.8509 11.8509 11.8509
angles: 161.38 153.32 32.74
Atoms (fractional coordinates):
Nd: 0.0000 0.0000 0.0000
Nd: 0.3758 0.8758 0.5000
Nd: 0.6242 0.1242 0.5000
Ho: 0.2350 0.2350 0.0000
Ho: 0.7650 0.7650 0.0000
In: 0.1227 0.6227 0.5000
In: 0.5000 0.5000 0.0000
In: 0.8773 0.3773 0.5000

The following is a DFT calculation (PBE-GGA) of a relaxed Nd12HoIn3 crystal.

Summary:
The value obtained for the total moment is 0.00 μB per cell. The formation energy is -3.17 eV/f.u. Its crystal system is tetragonal.

abc: 5.0015 5.0015 20.3638
angles: 90.00 90.00 90.00
Atoms (fractional coordinates):
Nd: 0.0000 0.0000 0.0000
Nd: 0.0000 0.0000 0.2461
Nd: 0.0000 0.0000 0.5000
Nd: 0.0000 0.0000 0.7539
Nd: 0.0000 0.5000 0.1232
Nd: 0.0000 0.5000 0.3695
Nd: 0.0000 0.5000 0.6305
Nd: 0.0000 0.5000 0.8768
Nd: 0.5000 0.0000 0.1232
Nd: 0.5000 0.0000 0.3695
Nd: 0.5000 0.0000 0.6305
Nd: 0.5000 0.0000 0.8768
Ho: 0.5000 0.5000 0.5000
In: 0.5000 0.5000 0.0000
In: 0.5000 0.5000 0.2445
In: 0.5000 0.5000 0.7555

The following is a DFT calculation (PBE-GGA) of a relaxed Nd2HoIn4 crystal.

Summary:
The value obtained for the total moment is 1.25 μB per cell. The formation energy is 0.87 eV/f.u. Its crystal system is tetragonal. The calculation puts the energy above the most stable polymorph in this dataset at 449 meV per atom.

abc: 8.9852 8.9852 8.9852
angles: 143.51 143.51 52.56
Atoms (fractional coordinates):
Nd: 0.1112 0.1112 0.0000
Nd: 0.8888 0.8888 0.0000
Ho: 0.5000 0.5000 0.0000
In: 0.0000 0.5000 0.5000
In: 0.3124 0.3124 0.0000
In: 0.5000 0.0000 0.5000
In: 0.6876 0.6876 0.0000